[1]
# KRb2FeBr (GGA-PBE, relaxed)
# crystal system = tetragonal
# total energy = -2.230 eV per atom
# spin magnetization = 3.52 μB per formula unit
data_KRb2FeBr
_chemical_formula_sum 'K1 Rb2 Fe1 Br1'
_cell_length_a 7.6462
_cell_length_b 7.6462
_cell_length_c 5.7942
_cell_angle_alpha 90.00
_cell_angle_beta 90.00
_cell_angle_gamma 90.00
_symmetry_space_group_name_H-M 'P 4/m m m'
_symmetry_Int_Tables_number 123
_symmetry_space_group_name_Hall '-P 4 2'
loop_
_atom_site_label
_atom_site_fract_x
_atom_site_fract_y
_atom_site_fract_z
K1 0.0000 0.0000 0.0000
Rb1 0.0000 0.5000 0.0000
Fe1 0.5000 0.5000 0.5000
Br1 0.0000 0.0000 0.5000


[2]
# KRbFeBr4 (GGA-PBE, relaxed)
# crystal system = monoclinic
# total energy = -3.656 eV per atom
# spin magnetization = 4.00 μB per formula unit
data_KRbFeBr4
_chemical_formula_sum 'K2 Rb2 Fe2 Br8'
_cell_length_a 7.5239
_cell_length_b 7.6277
_cell_length_c 9.4999
_cell_angle_alpha 90.00
_cell_angle_beta 108.35
_cell_angle_gamma 90.00
_symmetry_space_group_name_H-M 'P 1 21/m 1'
_symmetry_Int_Tables_number 11
loop_
_symmetry_equiv_pos_as_xyz
'x,y,z'
'-x,-y,-z'
'-x,y+1/2,-z'
'x,-y+1/2,z'
loop_
_atom_site_label
_atom_site_fract_x
_atom_site_fract_y
_atom_site_fract_z
K1 0.2205 0.2500 0.0509
Rb1 0.2728 0.2500 0.5697
Fe1 0.2198 0.7500 0.8044
Br1 0.0045 0.9995 0.7495
Br2 0.4013 0.7500 0.0662
Br3 0.4127 0.7500 0.6400


[3]
# KRbFe2Br6 (GGA-PBE, relaxed)
# crystal system = monoclinic
# total energy = -3.845 eV per atom
# spin magnetization = 8.00 μB per formula unit
data_KRbFe2Br6
_chemical_formula_sum 'K4 Rb4 Fe8 Br24'
_cell_length_a 14.6125
_cell_length_b 13.8501
_cell_length_c 7.6851
_cell_angle_alpha 90.00
_cell_angle_beta 103.80
_cell_angle_gamma 90.00
_symmetry_space_group_name_H-M 'C 1 2/c 1'
_symmetry_Int_Tables_number 15
loop_
_symmetry_equiv_pos_as_xyz
'x,y,z'
'-x,-y,-z'
'-x,y,-z+1/2'
'x,-y,z+1/2'
'x+1/2,y+1/2,z'
'-x+1/2,-y+1/2,-z'
'-x+1/2,y+1/2,-z+1/2'
'x+1/2,-y+1/2,z+1/2'
loop_
_atom_site_label
_atom_site_fract_x
_atom_site_fract_y
_atom_site_fract_z
K1 0.0000 0.1003 0.2500
Rb1 0.0000 0.3220 0.7500
Fe1 0.2124 0.4151 0.2589
Br1 0.1181 0.0932 0.6708
Br2 0.1444 0.2616 0.1580
Br3 0.1469 0.4654 0.5180


[4]
# KRbFe2Br8 (GGA-PBE, relaxed)
# crystal system = monoclinic
# total energy = -3.640 eV per atom
# spin magnetization = 9.99 μB per formula unit
data_KRbFe2Br8
_chemical_formula_sum 'K2 Rb2 Fe4 Br16'
_cell_length_a 11.6341
_cell_length_b 7.8791
_cell_length_c 11.1164
_cell_angle_alpha 90.00
_cell_angle_beta 92.06
_cell_angle_gamma 90.00
_symmetry_space_group_name_H-M 'C 1 2/m 1'
_symmetry_Int_Tables_number 12
loop_
_symmetry_equiv_pos_as_xyz
'x,y,z'
'-x,-y,-z'
'-x,y,-z'
'x,-y,z'
'x+1/2,y+1/2,z'
'-x+1/2,-y+1/2,-z'
'-x+1/2,y+1/2,-z'
'x+1/2,-y+1/2,z'
loop_
_atom_site_label
_atom_site_fract_x
_atom_site_fract_y
_atom_site_fract_z
K1 0.0000 0.0000 0.0000
Rb1 0.0000 0.0000 0.5000
Fe1 0.0958 0.5000 0.7575
Br1 0.0253 0.2572 0.2427
Br2 0.1975 0.5000 0.5789
Br3 0.2096 0.5000 0.9357


[5]
# KFeSeBr2 (GGA-PBE, relaxed)
# crystal system = tetragonal
# relative energy among the computed polymorphs = 1186 meV per atom
# spin magnetization = 5.20 μB per formula unit
data_KFeSeBr2
_chemical_formula_sum 'K1 Fe1 Se1 Br2'
_cell_length_a 5.8555
_cell_length_b 5.8555
_cell_length_c 5.8517
_cell_angle_alpha 90.00
_cell_angle_beta 90.00
_cell_angle_gamma 90.00
_symmetry_space_group_name_H-M 'P 4/m m m'
_symmetry_Int_Tables_number 123
_symmetry_space_group_name_Hall '-P 4 2'
loop_
_atom_site_label
_atom_site_fract_x
_atom_site_fract_y
_atom_site_fract_z
K1 0.0000 0.0000 0.0000
Fe1 0.5000 0.5000 0.5000
Se1 0.0000 0.0000 0.5000
Br1 0.0000 0.5000 0.0000


[6]
# KFeSeBr2 (GGA-PBE, relaxed)
# crystal system = tetragonal
# relative energy among the computed polymorphs = 0 meV per atom
# spin magnetization = 0.14 μB per formula unit
data_KFeSeBr2
_chemical_formula_sum 'K1 Fe1 Se1 Br2'
_cell_length_a 5.3525
_cell_length_b 5.3525
_cell_length_c 4.4777
_cell_angle_alpha 90.00
_cell_angle_beta 90.00
_cell_angle_gamma 90.00
_symmetry_space_group_name_H-M 'P 4/m m m'
_symmetry_Int_Tables_number 123
_symmetry_space_group_name_Hall '-P 4 2'
loop_
_atom_site_label
_atom_site_fract_x
_atom_site_fract_y
_atom_site_fract_z
K1 0.0000 0.0000 0.0000
Fe1 0.5000 0.5000 0.5000
Se1 0.5000 0.5000 0.0000
Br1 0.0000 0.5000 0.5000


[7]
# KFeSn2Br8 (GGA-PBE, relaxed)
# crystal system = triclinic
# total energy = -3.363 eV per atom
# spin magnetization = 5.04 μB per formula unit
data_KFeSn2Br8
_chemical_formula_sum 'K1 Fe1 Sn2 Br8'
_cell_length_a 6.5942
_cell_length_b 7.8457
_cell_length_c 8.9326
_cell_angle_alpha 79.14
_cell_angle_beta 73.13
_cell_angle_gamma 86.65
_symmetry_space_group_name_H-M 'P -1'
_symmetry_Int_Tables_number 2
loop_
_symmetry_equiv_pos_as_xyz
'x,y,z'
'-x,-y,-z'
loop_
_atom_site_label
_atom_site_fract_x
_atom_site_fract_y
_atom_site_fract_z
K1 0.0000 0.0000 0.0000
Fe1 0.0000 0.0000 0.5000
Sn1 0.4555 0.3783 0.2612
Br1 0.1738 0.1877 0.6171
Br2 0.2001 0.7239 0.6000
Br3 0.2410 0.6158 0.0269
Br4 0.3213 0.0629 0.2286


[8]
# KSrFeBr5 (GGA-PBE, relaxed)
# crystal system = monoclinic
# total energy = -3.819 eV per atom
# spin magnetization = 4.00 μB per formula unit
data_KSrFeBr5
_chemical_formula_sum 'K4 Sr4 Fe4 Br20'
_cell_length_a 9.7081
_cell_length_b 12.8115
_cell_length_c 10.7383
_cell_angle_alpha 90.00
_cell_angle_beta 113.26
_cell_angle_gamma 90.00
_symmetry_space_group_name_H-M 'C 1 2/c 1'
_symmetry_Int_Tables_number 15
loop_
_symmetry_equiv_pos_as_xyz
'x,y,z'
'-x,-y,-z'
'-x,y,-z+1/2'
'x,-y,z+1/2'
'x+1/2,y+1/2,z'
'-x+1/2,-y+1/2,-z'
'-x+1/2,y+1/2,-z+1/2'
'x+1/2,-y+1/2,z+1/2'
loop_
_atom_site_label
_atom_site_fract_x
_atom_site_fract_y
_atom_site_fract_z
K1 0.0000 0.1485 0.2500
Sr1 0.0000 0.5000 0.0000
Fe1 0.0000 0.1818 0.7500
Br1 0.0000 0.4003 0.2500
Br2 0.1287 0.2892 0.6402
Br3 0.1667 0.0663 0.9294


[9]
# K2SrFeBr6 (GGA-PBE, relaxed)
# crystal system = monoclinic
# total energy = -3.659 eV per atom
# spin magnetization = 4.00 μB per formula unit
data_K2SrFeBr6
_chemical_formula_sum 'K4 Sr2 Fe2 Br12'
_cell_length_a 7.6176
_cell_length_b 7.9375
_cell_length_c 13.2718
_cell_angle_alpha 90.00
_cell_angle_beta 124.35
_cell_angle_gamma 90.00
_symmetry_space_group_name_H-M 'P 1 21/c 1'
_symmetry_Int_Tables_number 14
loop_
_symmetry_equiv_pos_as_xyz
'x,y,z'
'-x,-y,-z'
'-x,y+1/2,-z+1/2'
'x,-y+1/2,z+1/2'
loop_
_atom_site_label
_atom_site_fract_x
_atom_site_fract_y
_atom_site_fract_z
K1 0.2222 0.0723 0.2461
Sr1 0.5000 0.0000 0.0000
Fe1 0.0000 0.0000 0.5000
Br1 0.1268 0.2176 0.9477
Br2 0.2346 0.6827 0.9503
Br3 0.3298 0.0245 0.7306


[10]
# K2TlFeBr6 (GGA-PBE, relaxed)
# crystal system = monoclinic
# total energy = -3.258 eV per atom
# spin magnetization = 0.95 μB per formula unit
data_K2TlFeBr6
_chemical_formula_sum 'K4 Tl2 Fe2 Br12'
_cell_length_a 7.5958
_cell_length_b 7.9192
_cell_length_c 13.2321
_cell_angle_alpha 90.00
_cell_angle_beta 124.36
_cell_angle_gamma 90.00
_symmetry_space_group_name_H-M 'P 1 21/c 1'
_symmetry_Int_Tables_number 14
loop_
_symmetry_equiv_pos_as_xyz
'x,y,z'
'-x,-y,-z'
'-x,y+1/2,-z+1/2'
'x,-y+1/2,z+1/2'
loop_
_atom_site_label
_atom_site_fract_x
_atom_site_fract_y
_atom_site_fract_z
K1 0.2213 0.0768 0.2450
Tl1 0.5000 0.0000 0.0000
Fe1 0.0000 0.0000 0.5000
Br1 0.1085 0.2355 0.9505
Br2 0.2160 0.6651 0.9498
Br3 0.3108 0.0207 0.7136


[11]
# KTlFeBr4 (GGA-PBE, relaxed)
# crystal system = monoclinic
# total energy = -3.586 eV per atom
# spin magnetization = 4.00 μB per formula unit
data_KTlFeBr4
_chemical_formula_sum 'K2 Tl2 Fe2 Br8'
_cell_length_a 7.5351
_cell_length_b 7.5586
_cell_length_c 9.1598
_cell_angle_alpha 90.00
_cell_angle_beta 108.06
_cell_angle_gamma 90.00
_symmetry_space_group_name_H-M 'P 1 21/m 1'
_symmetry_Int_Tables_number 11
loop_
_symmetry_equiv_pos_as_xyz
'x,y,z'
'-x,-y,-z'
'-x,y+1/2,-z'
'x,-y+1/2,z'
loop_
_atom_site_label
_atom_site_fract_x
_atom_site_fract_y
_atom_site_fract_z
K1 0.2232 0.2500 0.0548
Tl1 0.2610 0.2500 0.5669
Fe1 0.2282 0.7500 0.8014
Br1 0.0096 0.5005 0.7420
Br2 0.4035 0.7500 0.0731
Br3 0.4169 0.7500 0.6293


[12]
# KTlFeBr2 (GGA-PBE, relaxed)
# crystal system = tetragonal
# total energy = -2.740 eV per atom
# spin magnetization = 4.00 μB per formula unit
data_KTlFeBr2
_chemical_formula_sum 'K1 Tl1 Fe1 Br2'
_cell_length_a 5.9270
_cell_length_b 5.9270
_cell_length_c 6.4526
_cell_angle_alpha 90.00
_cell_angle_beta 90.00
_cell_angle_gamma 90.00
_symmetry_space_group_name_H-M 'P 4/m m m'
_symmetry_Int_Tables_number 123
_symmetry_space_group_name_Hall '-P 4 2'
loop_
_atom_site_label
_atom_site_fract_x
_atom_site_fract_y
_atom_site_fract_z
K1 0.0000 0.0000 0.0000
Tl1 0.0000 0.0000 0.5000
Fe1 0.5000 0.5000 0.5000
Br1 0.0000 0.5000 0.0000


[13]
# KTlFeBr5 (GGA-PBE, relaxed)
# crystal system = monoclinic
# total energy = -3.422 eV per atom
# spin magnetization = 4.97 μB per formula unit
data_KTlFeBr5
_chemical_formula_sum 'K4 Tl4 Fe4 Br20'
_cell_length_a 11.8928
_cell_length_b 15.6609
_cell_length_c 8.1498
_cell_angle_alpha 90.00
_cell_angle_beta 123.94
_cell_angle_gamma 90.00
_symmetry_space_group_name_H-M 'C 1 2/c 1'
_symmetry_Int_Tables_number 15
loop_
_symmetry_equiv_pos_as_xyz
'x,y,z'
'-x,-y,-z'
'-x,y,-z+1/2'
'x,-y,z+1/2'
'x+1/2,y+1/2,z'
'-x+1/2,-y+1/2,-z'
'-x+1/2,y+1/2,-z+1/2'
'x+1/2,-y+1/2,z+1/2'
loop_
_atom_site_label
_atom_site_fract_x
_atom_site_fract_y
_atom_site_fract_z
K1 0.2500 0.2500 0.0000
Tl1 0.0000 0.0856 0.2500
Fe1 0.0000 0.3883 0.2500
Br1 0.0000 0.1058 0.7500
Br2 0.0387 0.2952 0.5075
Br3 0.1908 0.4722 0.3529


[14]
# KTlFe2Br8 (GGA-PBE, relaxed)
# crystal system = monoclinic
# total energy = -3.599 eV per atom
# spin magnetization = 10.00 μB per formula unit
data_KTlFe2Br8
_chemical_formula_sum 'K2 Tl2 Fe4 Br16'
_cell_length_a 11.5321
_cell_length_b 7.9848
_cell_length_c 10.6159
_cell_angle_alpha 90.00
_cell_angle_beta 91.20
_cell_angle_gamma 90.00
_symmetry_space_group_name_H-M 'C 1 2/m 1'
_symmetry_Int_Tables_number 12
loop_
_symmetry_equiv_pos_as_xyz
'x,y,z'
'-x,-y,-z'
'-x,y,-z'
'x,-y,z'
'x+1/2,y+1/2,z'
'-x+1/2,-y+1/2,-z'
'-x+1/2,y+1/2,-z'
'x+1/2,-y+1/2,z'
loop_
_atom_site_label
_atom_site_fract_x
_atom_site_fract_y
_atom_site_fract_z
K1 0.0000 0.0000 0.0000
Tl1 0.0000 0.0000 0.5000
Fe1 0.1009 0.5000 0.2510
Br1 0.0210 0.2594 0.7494
Br2 0.2078 0.5000 0.0658
Br3 0.2113 0.5000 0.4388


[15]
# LaFeBr2 (GGA-PBE, relaxed)
# crystal system = tetragonal
# relative energy among the computed polymorphs = 259 meV per atom
# spin magnetization = 3.62 μB per formula unit
data_LaFeBr2
_chemical_formula_sum 'La1 Fe1 Br2'
_cell_length_a 3.8218
_cell_length_b 3.8218
_cell_length_c 6.9781
_cell_angle_alpha 90.00
_cell_angle_beta 90.00
_cell_angle_gamma 90.00
_symmetry_space_group_name_H-M 'P 4/m m m'
_symmetry_Int_Tables_number 123
_symmetry_space_group_name_Hall '-P 4 2'
loop_
_atom_site_label
_atom_site_fract_x
_atom_site_fract_y
_atom_site_fract_z
La1 0.0000 0.0000 0.0000
Fe1 0.0000 0.0000 0.5000
Br1 0.5000 0.5000 0.2386


[16]
# LaFeBr2 (GGA-PBE, relaxed)
# crystal system = cubic
# relative energy among the computed polymorphs = 198 meV per atom
# spin magnetization = 3.00 μB per formula unit
data_LaFeBr2
_chemical_formula_sum 'La4 Fe4 Br8'
_cell_length_a 7.3679
_cell_length_b 7.3679
_cell_length_c 7.3679
_cell_angle_alpha 90.00
_cell_angle_beta 90.00
_cell_angle_gamma 90.00
_symmetry_space_group_name_H-M 'F m -3 m'
_symmetry_Int_Tables_number 225
_symmetry_space_group_name_Hall '-F 4 2 3'
loop_
_atom_site_label
_atom_site_fract_x
_atom_site_fract_y
_atom_site_fract_z
La1 0.0000 0.0000 0.0000
Fe1 0.0000 0.0000 0.5000
Br1 0.2500 0.2500 0.2500


[17]
# LaFeBr2 (GGA-PBE, relaxed)
# crystal system = tetragonal
# relative energy among the computed polymorphs = 0 meV per atom
# spin magnetization = 3.04 μB per formula unit
data_LaFeBr2
_chemical_formula_sum 'La1 Fe1 Br2'
_cell_length_a 3.6365
_cell_length_b 3.6365
_cell_length_c 8.5657
_cell_angle_alpha 90.00
_cell_angle_beta 90.00
_cell_angle_gamma 90.00
_symmetry_space_group_name_H-M 'P 4 m m'
_symmetry_Int_Tables_number 99
loop_
_symmetry_equiv_pos_as_xyz
'x,y,z'
'-y,x,z'
'-x,-y,z'
'y,-x,z'
'-x,y,z'
'y,x,z'
'x,-y,z'
'-y,-x,z'
loop_
_atom_site_label
_atom_site_fract_x
_atom_site_fract_y
_atom_site_fract_z
La1 0.0000 0.0000 0.0000
Fe1 0.5000 0.5000 0.7693
Br1 0.0000 0.0000 0.6422
Br2 0.5000 0.5000 0.2265


[18]
# LaFeBr2 (GGA-PBE, relaxed)
# crystal system = orthorhombic
# relative energy among the computed polymorphs = 379 meV per atom
# spin magnetization = 2.91 μB per formula unit
data_LaFeBr2
_chemical_formula_sum 'La2 Fe2 Br4'
_cell_length_a 3.6556
_cell_length_b 6.5282
_cell_length_c 8.7611
_cell_angle_alpha 90.00
_cell_angle_beta 90.00
_cell_angle_gamma 90.00
_symmetry_space_group_name_H-M 'C m m m'
_symmetry_Int_Tables_number 65
_symmetry_space_group_name_Hall '-C 2 2'
loop_
_atom_site_label
_atom_site_fract_x
_atom_site_fract_y
_atom_site_fract_z
La1 0.0000 0.0000 0.0000
Fe1 0.0000 0.0000 0.5000
Br1 0.0000 0.5000 0.2932


[19]
# La2FeBr (GGA-PBE, relaxed)
# crystal system = cubic
# relative energy among the computed polymorphs = 830 meV per atom
# spin magnetization = 1.17 μB per formula unit
data_La2FeBr
_chemical_formula_sum 'La8 Fe4 Br4'
_cell_length_a 7.3819
_cell_length_b 7.3819
_cell_length_c 7.3819
_cell_angle_alpha 90.00
_cell_angle_beta 90.00
_cell_angle_gamma 90.00
_symmetry_space_group_name_H-M 'F -4 3 m'
_symmetry_Int_Tables_number 216
_symmetry_space_group_name_Hall 'F -4 2 3'
loop_
_atom_site_label
_atom_site_fract_x
_atom_site_fract_y
_atom_site_fract_z
La1 0.0000 0.0000 0.0000
La2 0.2500 0.2500 0.2500
Fe1 0.0000 0.0000 0.5000
Br1 0.2500 0.2500 0.7500


[20]
# La2FeBr (GGA-PBE, relaxed)
# crystal system = orthorhombic
# relative energy among the computed polymorphs = 43 meV per atom
# spin magnetization = 0.30 μB per formula unit
data_La2FeBr
_chemical_formula_sum 'La4 Fe2 Br2'
_cell_length_a 4.4271
_cell_length_b 5.5897
_cell_length_c 8.3399
_cell_angle_alpha 90.00
_cell_angle_beta 90.00
_cell_angle_gamma 90.00
_symmetry_space_group_name_H-M 'C m m m'
_symmetry_Int_Tables_number 65
_symmetry_space_group_name_Hall '-C 2 2'
loop_
_atom_site_label
_atom_site_fract_x
_atom_site_fract_y
_atom_site_fract_z
La1 0.0000 0.0000 0.2017
Fe1 0.0000 0.5000 0.0000
Br1 0.0000 0.5000 0.5000